{
  "formula": "As4C3",
  "functional": "GGA-PBE",
  "state": "relaxed",
  "cell": [[4.1836, 0.0000, 0.0000], [-2.0918, 3.6231, 0.0000], [0.0000, 0.0000, 7.7387]],
  "species": ["As", "As", "As", "As", "C", "C", "C"],
  "frac_coords": [[0.0000, 0.0000, 0.1604], [0.0000, 0.0000, 0.8396], [0.3333, 0.6667, 0.5000], [0.6667, 0.3333, 0.5000], [0.0000, 0.5000, 0.0000], [0.5000, 0.0000, 0.0000], [0.5000, 0.5000, 0.0000]],
  "n_ef_per_ev_atom": 0.418
}

***

{
  "formula": "AsC",
  "functional": "GGA-PBE",
  "state": "relaxed",
  "cell": [[3.1393, 0.0000, 0.0000], [-1.5696, 2.7187, 0.0000], [0.0000, 0.0000, 7.4498]],
  "species": ["As", "As", "C", "C"],
  "frac_coords": [[0.0000, 0.0000, 0.0000], [0.3333, 0.6667, 0.3923], [0.3333, 0.6667, 0.1248], [0.6667, 0.3333, 0.4764]]
}

***

{
  "formula": "AsC",
  "functional": "GGA-PBE",
  "state": "relaxed",
  "cell": [[2.9315, 0.0000, 0.0000], [0.0000, 2.9315, 0.0000], [0.0000, 0.0000, 3.0278]],
  "species": ["As", "C"],
  "frac_coords": [[0.0000, 0.0000, 0.0000], [0.5000, 0.5000, 0.0000]],
  "n_ef_per_ev_atom": 0.362
}

***

{
  "formula": "As3C4",
  "functional": "GGA-PBE",
  "state": "relaxed",
  "cell": [[-1.5914, 1.5914, 8.9327], [1.5914, -1.5914, 8.9327], [1.5914, 1.5914, -8.9327]],
  "species": ["As", "As", "As", "C", "C", "C", "C"],
  "frac_coords": [[0.0000, 0.0000, 0.0000], [0.3115, 0.3115, 0.0000], [0.6885, 0.6885, 0.0000], [0.1975, 0.1975, 0.0000], [0.4625, 0.4625, 0.0000], [0.5375, 0.5375, 0.0000], [0.8025, 0.8025, 0.0000]],
  "n_ef_per_ev_atom": 0.223
}

***

Number 1: energy relative to the elements 2076 meV/atom, energy relative to the lowest polymorph listed for this composition 1.2046 eV per atom. Number 2: energy relative to the elements 995 meV/atom, energy relative to the lowest polymorph listed for this composition 0.4549 eV per atom. Number 3: energy relative to the elements 1725 meV/atom, energy relative to the lowest polymorph listed for this composition 1.1850 eV per atom. Number 4: energy relative to the elements 1708 meV/atom, energy relative to the lowest polymorph listed for this composition 0.1893 eV per atom.